This record from Alexandria describes an optimized crystal structure of Pm2Dy3Cd2. The functional is GGA-PBE.

abc: 9.430 5.439 8.625
angles: 90.00 111.34 90.00
Fractional coordinates of all 14 atoms:
Pm 0.075 0.000 0.225
Pm 0.425 0.500 0.775
Pm 0.575 0.500 0.225
Pm 0.925 0.000 0.775
Dy 0.000 0.500 0.500
Dy 0.156 0.500 0.968
Dy 0.344 0.000 0.032
Dy 0.500 0.000 0.500
Dy 0.656 0.000 0.968
Dy 0.844 0.500 0.032
Cd 0.213 0.000 0.638
Cd 0.287 0.500 0.362
Cd 0.713 0.500 0.638
Cd 0.787 0.000 0.362

## Properties
Its crystal system is monoclinic. For the density of states at the Fermi level, the calculation gives 8.54 states/eV/f.u. As for the raw total energy: -3.739 eV per atom. The value obtained for the mass density is 8.08 g/cm³. The energy above the lowest structure with this stoichiometry is 0.00 kcal/mol of atoms. For the formation energy, the calculation gives -0.15 eV/atom.